Material: NbSnPbN2
Method: DFT, PBE
State: relaxed

## Properties
- ρ (g/cm3) = 6.64
- space-group type = P4/mmm, No. 123
- magnetization (μB/atom) = 0.00
- DFT total energy (eV per cell) = -23.86
- DOS(E_F) (states/eV per cell) = 4.52

```
5
Lattice="4.3556 0.0000 0.0000 0.0000 4.3556 0.0000 0.0000 0.0000 5.8928" Properties=species:S:1:pos:R:3 pbc="T T T"
Nb 0.0000 0.0000 0.0000
Sn 2.1778 2.1778 0.0000
Pb 2.1778 2.1778 2.9464
N 0.0000 2.1778 2.9464
N 2.1778 0.0000 2.9464
```

=====

Material: NbTc2PbN
Method: DFT, PBE
State: relaxed

## Properties
- ρ (g/cm3) = 8.45
- space-group type = P4/mmm, No. 123
- magnetization (μB/atom) = 0.79
- DFT total energy (eV per cell) = -36.32
- DOS(E_F) (states/eV per cell) = 3.62

```
5
Lattice="5.0089 0.0000 0.0000 0.0000 5.0089 0.0000 0.0000 0.0000 3.9959" Properties=species:S:1:pos:R:3 pbc="T T T"
Nb 0.0000 0.0000 0.0000
Tc 0.0000 2.5045 0.0000
Tc 2.5045 0.0000 0.0000
Pb 2.5045 2.5045 1.9980
N 0.0000 0.0000 1.9980
```

=====

Material: NbTe2PbN
Method: DFT, PBE
State: relaxed

## Properties
- ρ (g/cm3) = 6.70
- space-group type = P4/mmm, No. 123
- magnetization (μB/atom) = 0.72
- DFT total energy (eV per cell) = -21.27
- DOS(E_F) (states/eV per cell) = 5.44

```
5
Lattice="5.8453 0.0000 0.0000 0.0000 5.8453 0.0000 0.0000 0.0000 4.1323" Properties=species:S:1:pos:R:3 pbc="T T T"
Nb 0.0000 0.0000 0.0000
Te 0.0000 2.9227 2.0662
Te 2.9227 0.0000 2.0662
Pb 2.9227 2.9227 2.0662
N 2.9227 2.9227 0.0000
```

=====

Material: NbTe2PbN
Method: DFT, PBE
State: relaxed

## Properties
- ρ (g/cm3) = 7.38
- space-group type = P4/mmm, No. 123
- magnetization (μB/atom) = 0.00
- DFT total energy (eV per cell) = -28.68
- DOS(E_F) (states/eV per cell) = 2.08

```
5
Lattice="5.6908 0.0000 0.0000 0.0000 5.6908 0.0000 0.0000 0.0000 3.9573" Properties=species:S:1:pos:R:3 pbc="T T T"
Nb 0.0000 0.0000 0.0000
Te 0.0000 2.8454 0.0000
Te 2.8454 0.0000 0.0000
Pb 2.8454 2.8454 1.9787
N 0.0000 0.0000 1.9787
```